# PaAgSe2O8 PBE optimized geometry
data_PaAgSe2O8
_chemical_formula_sum 'Pa2 Ag2 Se4 O16'
_symmetry_space_group_name_H-M 'I -4 m 2'
_symmetry_Int_Tables_number 119
_symmetry_space_group_name_Hall 'I -4 -2'
_cell_length_a 7.299
_cell_length_b 7.299
_cell_length_c 6.658
_cell_angle_alpha 90.00
_cell_angle_beta 90.00
_cell_angle_gamma 90.00
loop_
_atom_site_label
_atom_site_fract_x
_atom_site_fract_y
_atom_site_fract_z
Pa1 0.000 0.000 0.000
Ag1 0.000 0.500 0.250
Se1 0.000 0.000 0.500
Se2 0.000 0.500 0.750
O1 0.000 0.176 0.335
O2 0.000 0.288 0.924
# ΔE_f (raw)   -1.279 eV per atom
# Magnetization   0.0 μB/f.u.